A relaxed AcY3Ho4 crystal, computed with PBE.

a = 11.884 Å, b = 13.422 Å, c = 3.462 Å
α = 90.00°, β = 90.00°, γ = 90.00°
Space group Cmmm (No. 65)
One atom of each set of equivalent atoms:
Ac: 0.000 0.000 0.000 [2 per cell]
Y: 0.000 0.500 0.000 [2 per cell]
Y: 0.250 0.250 0.500 [4 per cell]
Ho: 0.000 0.259 0.000 [4 per cell]
Ho: 0.240 0.500 0.500 [4 per cell]

Properties
* energy: -4.7721 eV/atom
* E above lowest polymorph: 264.8 meV per atom
* size of the total moment: 2.9 μB per formula unit
* crystal system: orthorhombic
* formation energy from the elements: 454 meV per atom